The following is a PBEsol calculation of YSbAu2 after structural relaxation, from Alexandria via LeMat-Bulk.

a = 3.7580 Å, b = 3.7580 Å, c = 6.0937 Å
α = 90.00°, β = 90.00°, γ = 90.00°
Fractional positions:
Y 0.0000 0.0000 0.0000
Sb 0.0000 0.0000 0.5000
Au 0.5000 0.5000 0.2429
Au 0.5000 0.5000 0.7571

Output
E: -21.586 eV for the cell shown
Spin magnetization: 0.00 μB/f.u.
Formation energy from raw total energies: -0.59 eV/atom

---

The following is a PBEsol calculation of ZnSb2Au after structural relaxation, from Alexandria via LeMat-Bulk.

a = 4.4464 Å, b = 4.4464 Å, c = 6.1090 Å
α = 107.40°, β = 107.40°, γ = 51.50°
Fractional positions:
Zn 0.0000 0.0000 0.0000
Sb 0.4944 0.4944 0.5957
Sb 0.7703 0.7703 0.2288
Au 0.2562 0.2562 0.8292

Output
E: -14.679 eV for the cell shown
Spin magnetization: 0.00 μB/f.u.
Formation energy from raw total energies: -0.01 eV/atom